Version 1
! LaMoN2, relaxed, DFT PBE; values from VASP
&SYSTEM
  ibrav = 0, nat = 4, ntyp = 3
/
ATOMIC_SPECIES
La 138.91 La.upf
Mo 95.94 Mo.upf
N 14.01 N.upf
CELL_PARAMETERS angstrom
0.0000 2.9455 2.9455
2.9455 0.0000 2.9455
2.9455 2.9455 0.0000
ATOMIC_POSITIONS crystal
La 0.0000 0.0000 0.0000
Mo 0.5000 0.5000 0.5000
N 0.2500 0.2500 0.2500
N 0.7500 0.7500 0.7500
! mass density	8.5	Mg/m³
! space group	Fm-3m

---

Version 2
! LaMoN2, relaxed, DFT PBE; values from VASP
&SYSTEM
  ibrav = 0, nat = 4, ntyp = 3
/
ATOMIC_SPECIES
La 138.91 La.upf
Mo 95.94 Mo.upf
N 14.01 N.upf
CELL_PARAMETERS angstrom
1.8603 1.0740 6.2629
-1.8603 1.0740 6.2629
0.0000 -2.1480 6.2629
ATOMIC_POSITIONS crystal
La 0.0000 0.0000 0.0000
Mo 0.5000 0.5000 0.5000
N 0.4000 0.4000 0.4000
N 0.6000 0.6000 0.6000
! mass density	5.8	Mg/m³
! space group	R-3m

---

Version 3
! LaMoN2, relaxed, DFT PBE; values from VASP
&SYSTEM
  ibrav = 0, nat = 8, ntyp = 3
/
ATOMIC_SPECIES
La 138.91 La.upf
Mo 95.94 Mo.upf
N 14.01 N.upf
CELL_PARAMETERS angstrom
-2.5232 2.5232 5.2437
2.5232 -2.5232 5.2437
2.5232 2.5232 -5.2437
ATOMIC_POSITIONS crystal
La 0.0000 0.0000 0.0000
La 0.7500 0.2500 0.5000
Mo 0.2500 0.7500 0.5000
Mo 0.5000 0.5000 0.0000
N 0.2189 0.6250 0.0939
N 0.3750 0.4689 0.5939
N 0.5311 0.1250 0.9061
N 0.8750 0.7811 0.4061
! mass density	6.5	Mg/m³
! space group	I-42d

---

Which of them is the most stable? Correct choice: version 3.

---

Version 1
! LaMoN2, relaxed, DFT PBE; values from VASP
&SYSTEM
  ibrav = 0, nat = 4, ntyp = 3
/
ATOMIC_SPECIES
La 138.91 La.upf
Mo 95.94 Mo.upf
N 14.01 N.upf
CELL_PARAMETERS angstrom
1.6219 0.9364 6.6781
-1.6219 0.9364 6.6781
0.0000 -1.8729 6.6781
ATOMIC_POSITIONS crystal
La 0.0000 0.0000 0.0000
Mo 0.5000 0.5000 0.5000
N 0.1165 0.1165 0.1165
N 0.8835 0.8835 0.8835
! mass density	7.2	Mg/m³
! space group	R-3m

---

Version 2
! LaMoN2, relaxed, DFT PBE; values from VASP
&SYSTEM
  ibrav = 0, nat = 16, ntyp = 3
/
ATOMIC_SPECIES
La 138.91 La.upf
Mo 95.94 Mo.upf
N 14.01 N.upf
CELL_PARAMETERS angstrom
5.9814 0.0000 0.0000
0.0000 3.3688 0.0000
0.0000 0.0000 10.9545
ATOMIC_POSITIONS crystal
La 0.0753 0.2500 0.1440
La 0.4247 0.7500 0.6440
La 0.5753 0.2500 0.3560
La 0.9247 0.7500 0.8560
Mo 0.0568 0.7500 0.4084
Mo 0.4432 0.2500 0.9084
Mo 0.5568 0.7500 0.0916
Mo 0.9432 0.2500 0.5916
N 0.1599 0.2500 0.7416
N 0.2339 0.2500 0.4849
N 0.2661 0.7500 0.9849
N 0.3401 0.7500 0.2416
N 0.6599 0.2500 0.7584
N 0.7339 0.2500 0.0151
N 0.7661 0.7500 0.5151
N 0.8401 0.7500 0.2584
! mass density	7.9	Mg/m³
! space group	Pnma

---

Which of them is the most stable? Correct choice: version 2.

---

Version 1
! La2Mo2N5, relaxed, DFT PBE; values from VASP
&SYSTEM
  ibrav = 0, nat = 9, ntyp = 3
/
ATOMIC_SPECIES
La 138.91 La.upf
Mo 95.94 Mo.upf
N 14.01 N.upf
CELL_PARAMETERS angstrom
5.7775 -2.0050 0.0000
5.7775 2.0050 0.0000
-1.7666 0.0000 5.8047
ATOMIC_POSITIONS crystal
La 0.1083 0.1083 0.3099
La 0.8917 0.8917 0.6901
Mo 0.3568 0.3568 0.1364
Mo 0.6432 0.6432 0.8636
N 0.1763 0.1763 0.9596
N 0.3468 0.3468 0.4359
N 0.5000 0.5000 0.0000
N 0.6532 0.6532 0.5641
N 0.8237 0.8237 0.0404
! mass density	6.7	Mg/m³
! space group	C2/m

---

Version 2
! La2Mo2N5, relaxed, DFT PBE; values from VASP
&SYSTEM
  ibrav = 0, nat = 9, ntyp = 3
/
ATOMIC_SPECIES
La 138.91 La.upf
Mo 95.94 Mo.upf
N 14.01 N.upf
CELL_PARAMETERS angstrom
4.0380 0.0000 0.0000
0.0000 4.0380 0.0000
0.0000 0.0000 7.5989
ATOMIC_POSITIONS crystal
La 0.0000 0.0000 0.0000
La 0.0000 0.0000 0.5000
Mo 0.5000 0.5000 0.2485
Mo 0.5000 0.5000 0.7515
N 0.0000 0.5000 0.2255
N 0.0000 0.5000 0.7745
N 0.5000 0.0000 0.2255
N 0.5000 0.0000 0.7745
N 0.5000 0.5000 0.5000
! mass density	7.2	Mg/m³
! space group	P4/mmm

---

Which of them is the most stable? Correct choice: version 2.